The following is a DFT calculation (PBE) of a relaxed LuMgScAu crystal.

Results
formation energy from the elements: -0.409 eV/atom
symmetry: F-43m, No. 216
E: -17.36 eV for the cell shown

The structure in CIF format:
```
data_LuMgScAu
_cell_length_a 4.9936
_cell_length_b 4.9936
_cell_length_c 4.9936
_cell_angle_alpha 60.00
_cell_angle_beta 60.00
_cell_angle_gamma 60.00
_space_group_name_H-M_alt 'P 1'
_space_group_IT_number 1
loop_
_space_group_symop_operation_xyz
'x,y,z'
loop_
_atom_site_label
_atom_site_fract_x
_atom_site_fract_y
_atom_site_fract_z
Au1 0.0000 0.0000 0.0000
Sc1 0.2500 0.2500 0.2500
Lu1 0.7500 0.7500 0.7500
Mg1 0.5000 0.5000 0.5000
```

---

The following is a DFT calculation (PBE) of a relaxed Nb crystal.

Results
formation energy from the elements: 2.222 eV/atom
symmetry: I-43m, No. 217
E: -125.57 eV for the cell shown

The structure in CIF format:
```
data_Nb
_cell_length_a 8.1890
_cell_length_b 8.1890
_cell_length_c 8.1890
_cell_angle_alpha 90.00
_cell_angle_beta 90.00
_cell_angle_gamma 90.00
_space_group_name_H-M_alt 'P 1'
_space_group_IT_number 1
loop_
_space_group_symop_operation_xyz
'x,y,z'
loop_
_atom_site_label
_atom_site_fract_x
_atom_site_fract_y
_atom_site_fract_z
Nb1 0.8211 0.8211 0.1789
Nb2 0.6789 0.3211 0.3211
Nb3 0.3720 0.3720 0.3720
Nb4 0.1280 0.1280 0.8720
Nb5 0.8211 0.1789 0.8211
Nb6 0.8720 0.1280 0.1280
Nb7 0.3720 0.6280 0.6280
Nb8 0.3211 0.6789 0.3211
Nb9 0.6280 0.6280 0.3720
Nb10 0.3211 0.3211 0.6789
Nb11 0.6280 0.3720 0.6280
Nb12 0.6789 0.6789 0.6789
Nb13 0.1789 0.8211 0.8211
Nb14 0.8720 0.8720 0.8720
Nb15 0.1789 0.1789 0.1789
Nb16 0.1280 0.8720 0.1280
```

---

The following is a DFT calculation (PBE) of a relaxed CrNiPb4 crystal.

Results
formation energy from the elements: 0.893 eV/atom
symmetry: F-43m, No. 216
E: -24.88 eV for the cell shown

The structure in CIF format:
```
data_CrNiPb4
_cell_length_a 6.2968
_cell_length_b 6.2968
_cell_length_c 6.2968
_cell_angle_alpha 60.00
_cell_angle_beta 60.00
_cell_angle_gamma 60.00
_space_group_name_H-M_alt 'P 1'
_space_group_IT_number 1
loop_
_space_group_symop_operation_xyz
'x,y,z'
loop_
_atom_site_label
_atom_site_fract_x
_atom_site_fract_y
_atom_site_fract_z
Pb1 0.3748 0.8756 0.3748
Pb2 0.8756 0.3748 0.3748
Pb3 0.3748 0.3748 0.3748
Pb4 0.3748 0.3748 0.8756
Cr1 0.7500 0.7500 0.7500
Ni1 0.0000 0.0000 0.0000
```

---

The following is a DFT calculation (PBE) of a relaxed Hf6BN3 crystal.

Results
symmetry: P2_1/m, No. 11
E: -206.16 eV for the cell shown
uncorrected formation energy: -1.1707 eV/atom

The structure in CIF format:
```
data_Hf6BN3
_cell_length_a 3.2319
_cell_length_b 10.2297
_cell_length_c 9.6899
_cell_angle_alpha 116.42
_cell_angle_beta 90.00
_cell_angle_gamma 90.00
_space_group_name_H-M_alt 'P 1'
_space_group_IT_number 1
loop_
_space_group_symop_operation_xyz
'x,y,z'
loop_
_atom_site_label
_atom_site_fract_x
_atom_site_fract_y
_atom_site_fract_z
N1 0.2500 0.2691 0.5234
N2 0.7500 0.7309 0.4766
N3 0.7500 0.1550 0.0864
N4 0.7500 0.4356 0.8468
N5 0.2500 0.5644 0.1532
N6 0.2500 0.8450 0.9136
Hf1 0.2500 0.9020 0.5473
Hf2 0.7500 0.4326 0.6056
Hf3 0.7500 0.7663 0.7308
Hf4 0.2500 0.6167 0.9327
Hf5 0.2500 0.0721 0.9118
Hf6 0.7500 0.9279 0.0882
Hf7 0.2500 0.2701 0.7544
Hf8 0.2500 0.5674 0.3944
Hf9 0.7500 0.0980 0.4527
Hf10 0.7500 0.3833 0.0673
Hf11 0.7500 0.7299 0.2456
Hf12 0.2500 0.2337 0.2692
B1 0.2500 0.9244 0.2868
B2 0.7500 0.0756 0.7132
```